# 1
Li7ZrS6: optimized geometry, GGA-PBE.

a b c (Å): 7.1931 7.1931 7.1931
angles (deg): 58.24 58.24 58.24
Closest atoms and distances in Å follow each position.
Fractional coordinates of all 14 atoms:
Li 0.0000 0.0000 0.0000  6 S 2.65-2.82
Li 0.1521 0.7358 0.4347  4 S 2.42-2.51
Li 0.1930 0.5349 0.9214  4 S 2.39-2.51
Li 0.4347 0.1521 0.7358  4 S 2.42-2.51
Li 0.5349 0.9214 0.1930  4 S 2.39-2.51
Li 0.7358 0.4347 0.1521  4 S 2.42-2.51
Li 0.9214 0.1930 0.5349  4 S 2.39-2.51
Zr 0.6617 0.6617 0.6617  6 S 2.57-2.60
S 0.0352 0.4198 0.7740  5 Li 2.42-2.65, 1 Zr 2.60
S 0.2697 0.8787 0.5954  4 Li 2.39-2.51, 1 Zr 2.57
S 0.4198 0.7740 0.0352  5 Li 2.42-2.65, 1 Zr 2.60
S 0.5954 0.2697 0.8787  4 Li 2.39-2.51, 1 Zr 2.57
S 0.7740 0.0352 0.4198  5 Li 2.42-2.65, 1 Zr 2.60
S 0.8787 0.5954 0.2697  4 Li 2.39-2.51, 1 Zr 2.57

## Properties
The magnetization comes out at 0.00 μB/cell. Its space group is R3. The value obtained for the raw formation energy is -1246 meV/atom. The final energy is -4.582 eV/atom.



# 2
Tb2TmBi2N2: optimized geometry, GGA-PBE.

a b c (Å): 8.5174 8.5174 8.5174
angles (deg): 149.79 149.79 43.25
Closest atoms and distances in Å follow each position.
Fractional coordinates of all 7 atoms:
Tb 0.0916 0.0916 0.0000  4 N 2.65, 1 Tb 2.90
Tb 0.9084 0.9084 0.0000  4 N 2.65, 1 Tb 2.90
Tm 0.5000 0.5000 0.0000  4 N 2.22
Bi 0.2879 0.2879 0.0000  1 Tb 3.11, 1 Tm 3.36, 4 Bi 3.36
Bi 0.7121 0.7121 0.0000  1 Tb 3.11, 1 Tm 3.36, 4 Bi 3.36
N 0.0000 0.5000 0.5000  2 Tm 2.22
N 0.5000 0.0000 0.5000  2 Tm 2.22

## Properties
The magnetization comes out at 0.00 μB/cell. Its space group is I4/mmm. The value obtained for the raw formation energy is -898 meV/atom. The final energy is -6.347 eV/atom.



# 3
LaScF3: optimized geometry, GGA-PBE.

a b c (Å): 4.6608 4.6608 4.6608
angles (deg): 90.00 90.00 90.00
Closest atoms and distances in Å follow each position.
Fractional coordinates of all 5 atoms:
La 0.0000 0.0000 0.0000  6 F 2.33
Sc 0.5000 0.5000 0.5000  12 F 3.30
F 0.0000 0.0000 0.5000  2 La 2.33
F 0.0000 0.5000 0.0000  2 La 2.33
F 0.5000 0.0000 0.0000  2 La 2.33

## Properties
The magnetization comes out at 1.77 μB/cell. Its space group is Pm-3m. The value obtained for the raw formation energy is -2418 meV/atom. The final energy is -5.792 eV/atom.



# 4
Ho2AsCl2: optimized geometry, GGA-PBE.

a b c (Å): 10.4066 10.4066 10.4066
angles (deg): 22.15 22.15 22.15
Closest atoms and distances in Å follow each position.
Fractional coordinates of all 5 atoms:
Ho 0.1144 0.1144 0.1144  3 As 2.80, 3 Cl 2.81
Ho 0.8856 0.8856 0.8856  3 As 2.80, 3 Cl 2.81
As 0.5000 0.5000 0.5000  6 Ho 2.80
Cl 0.2715 0.2715 0.2715  3 Ho 2.81
Cl 0.7285 0.7285 0.7285  3 Ho 2.81

## Properties
The magnetization comes out at 0.00 μB/cell. Its space group is R-3m. The value obtained for the raw formation energy is -1868 meV/atom. The final energy is -5.368 eV/atom.